The following is a DFT calculation (GGA-PBE) of BaLa2Cu2 after structural relaxation.

a b c (Å): 8.567 8.567 4.019
angles (deg): 90.00 90.00 90.00
Fractional positions:
1 Ba 0.000 0.000 0.000
2 Ba 0.500 0.500 0.000
3 Cu 0.388 0.888 0.000
4 Cu 0.888 0.612 0.000
5 Cu 0.612 0.112 0.000
6 Cu 0.112 0.388 0.000
7 La 0.155 0.655 0.500
8 La 0.655 0.845 0.500
9 La 0.845 0.345 0.500
10 La 0.345 0.155 0.500

Computed properties:
- Crystal system: tetragonal
- Density of states at the Fermi level: 1.11 states/eV per atom
- Uncorrected energy: -39.84 eV per cell